First-principles (PBE-GGA) data for a relaxed structure of MnTl2Si, as listed in Alexandria.

a = 3.344 Å, b = 5.022 Å, c = 5.370 Å
α = 90.00°, β = 90.00°, γ = 90.00°
Fractional coordinates of all 4 atoms:
Mn 0.000 0.000 0.000
Tl 0.000 0.500 0.500
Tl 0.500 0.500 0.000
Si 0.500 0.000 0.500

Computed properties:
energy relative to the lowest polymorph listed for this composition: 401.2 meV per atom
space group: Pmmm (47)

***

First-principles (PBE-GGA) data for a relaxed structure of MnTl2Si, as listed in Alexandria.

a = 7.520 Å, b = 7.520 Å, c = 7.520 Å
α = 95.00°, β = 95.00°, γ = 145.68°
Fractional coordinates of all 8 atoms:
Mn 0.000 0.000 0.000
Mn 0.750 0.250 0.500
Tl 0.375 0.124 0.249
Tl 0.874 0.625 0.749
Tl 0.875 0.126 0.751
Tl 0.876 0.125 0.251
Si 0.250 0.750 0.500
Si 0.500 0.500 0.000

Computed properties:
energy relative to the lowest polymorph listed for this composition: 180.8 meV per atom
space group: I-42d (122)

***

First-principles (PBE-GGA) data for a relaxed structure of MnTlSi3, as listed in Alexandria.

a = 4.545 Å, b = 4.545 Å, c = 4.545 Å
α = 90.00°, β = 90.00°, γ = 90.00°
Fractional coordinates of all 5 atoms:
Mn 0.000 0.000 0.000
Tl 0.500 0.500 0.500
Si 0.000 0.000 0.500
Si 0.000 0.500 0.000
Si 0.500 0.000 0.000

Computed properties:
energy relative to the lowest polymorph listed for this composition: 0.0 meV per atom
space group: Pm-3m (221)

***

First-principles (PBE-GGA) data for a relaxed structure of MnTlSi4, as listed in Alexandria.

a = 5.275 Å, b = 5.275 Å, c = 5.275 Å
α = 60.00°, β = 60.00°, γ = 60.00°
Fractional coordinates of all 6 atoms:
Mn 0.000 0.000 0.000
Tl 0.750 0.750 0.750
Si 0.374 0.374 0.374
Si 0.374 0.374 0.877
Si 0.374 0.877 0.374
Si 0.877 0.374 0.374

Computed properties:
space group: F-43m (216)
total DFT energy (no corrections): -29.80 eV for the cell shown

***

First-principles (PBE-GGA) data for a relaxed structure of MnTl3Si, as listed in Alexandria.

a = 5.178 Å, b = 5.178 Å, c = 5.178 Å
α = 90.00°, β = 90.00°, γ = 90.00°
Fractional coordinates of all 5 atoms:
Mn 0.000 0.000 0.000
Tl 0.000 0.000 0.500
Tl 0.000 0.500 0.000
Tl 0.500 0.000 0.000
Si 0.500 0.500 0.500

Computed properties:
energy relative to the lowest polymorph listed for this composition: 0.0 meV per atom
space group: Pm-3m (221)

***

First-principles (PBE-GGA) data for a relaxed structure of MnTl2Si, as listed in Alexandria.

a = 3.284 Å, b = 3.284 Å, c = 8.132 Å
α = 90.00°, β = 90.00°, γ = 90.35°
Fractional coordinates of all 4 atoms:
Mn 0.000 0.000 0.000
Tl 0.500 0.500 0.241
Tl 0.500 0.500 0.759
Si 0.000 0.000 0.500

Computed properties:
energy relative to the lowest polymorph listed for this composition: 421.4 meV per atom
space group: Cmmm (65)

***

First-principles (PBE-GGA) data for a relaxed structure of Mn3TlSi, as listed in Alexandria.

a = 4.542 Å, b = 4.542 Å, c = 4.542 Å
α = 90.00°, β = 90.00°, γ = 90.00°
Fractional coordinates of all 5 atoms:
Mn 0.000 0.000 0.500
Mn 0.000 0.500 0.000
Mn 0.500 0.000 0.000
Tl 0.500 0.500 0.500
Si 0.000 0.000 0.000

Computed properties:
energy relative to the lowest polymorph listed for this composition: 0.0 meV per atom
space group: Pm-3m (221)

***

First-principles (PBE-GGA) data for a relaxed structure of Mn2TlSi2, as listed in Alexandria.

a = 6.469 Å, b = 6.469 Å, c = 6.469 Å
α = 148.51°, β = 148.51°, γ = 45.13°
Fractional coordinates of all 5 atoms:
Mn 0.112 0.112 0.000
Mn 0.888 0.888 0.000
Tl 0.500 0.500 0.000
Si 0.250 0.750 0.500
Si 0.750 0.250 0.500

Computed properties:
energy relative to the lowest polymorph listed for this composition: 0.0 meV per atom
space group: I4/mmm (139)

***

Number 1: theoretical density 9.1 g cm⁻³. Number 2: theoretical density 7.1 g cm⁻³. Number 3: theoretical density 6.1 g cm⁻³. Number 4: theoretical density 5.9 g cm⁻³. Number 5: theoretical density 8.3 g cm⁻³. Number 6: theoretical density 9.3 g cm⁻³. Number 7: theoretical density 7.0 g cm⁻³. Number 8: theoretical density 8.4 g cm⁻³.